Pm12Os3C5: relaxed, GGA-PBE.

Cell lengths 13.687, 13.687, 13.687 Å; angles 109.47, 109.47, 109.47 degrees
Element x y z (fractional)
Os1 0.750 0.375 0.125
Os2 0.875 0.750 0.125
Os3 0.375 0.750 0.625
Os4 0.250 0.125 0.375
Os5 0.875 0.125 0.250
Os6 0.375 0.625 0.250
Os7 0.625 0.375 0.750
Os8 0.125 0.875 0.750
Os9 0.750 0.875 0.625
Os10 0.625 0.250 0.375
Os11 0.125 0.250 0.875
Os12 0.250 0.625 0.875
C1 0.125 0.375 0.250
C2 0.000 0.500 0.000
C3 0.000 0.000 0.000
C4 0.375 0.250 0.125
C5 0.500 0.000 0.500
C6 0.500 0.500 0.000
C7 0.125 0.750 0.375
C8 0.750 0.125 0.875
C9 0.750 0.625 0.375
C10 0.375 0.125 0.750
C11 0.625 0.875 0.250
C12 0.500 0.500 0.500
C13 0.500 0.000 0.000
C14 0.000 0.000 0.500
C15 0.250 0.375 0.625
C16 0.250 0.875 0.125
C17 0.000 0.500 0.500
C18 0.875 0.250 0.625
C19 0.625 0.750 0.875
C20 0.875 0.625 0.750
Pm1 0.709 0.128 0.031
Pm2 0.322 0.531 0.403
Pm3 0.969 0.372 0.291
Pm4 0.531 0.209 0.128
Pm5 0.581 0.709 0.678
Pm6 0.969 0.597 0.178
Pm7 0.322 0.791 0.419
Pm8 0.097 0.919 0.128
Pm9 0.597 0.969 0.678
Pm10 0.709 0.581 0.178
Pm11 0.791 0.469 0.372
Pm12 0.822 0.903 0.031
Pm13 0.128 0.709 0.531
Pm14 0.372 0.403 0.081
Pm15 0.081 0.903 0.372
Pm16 0.419 0.128 0.597
Pm17 0.081 0.178 0.209
Pm18 0.469 0.678 0.097
Pm19 0.822 0.919 0.291
Pm20 0.128 0.419 0.097
Pm21 0.372 0.969 0.791
Pm22 0.597 0.628 0.419
Pm23 0.903 0.822 0.531
Pm24 0.791 0.322 0.919
Pm25 0.403 0.372 0.581
Pm26 0.097 0.178 0.469
Pm27 0.209 0.678 0.081
Pm28 0.178 0.081 0.709
Pm29 0.628 0.031 0.209
Pm30 0.872 0.581 0.903
Pm31 0.531 0.322 0.903
Pm32 0.581 0.872 0.403
Pm33 0.919 0.822 0.791
Pm34 0.919 0.097 0.628
Pm35 0.872 0.291 0.469
Pm36 0.178 0.097 0.969
Pm37 0.628 0.597 0.919
Pm38 0.403 0.031 0.322
Pm39 0.291 0.419 0.822
Pm40 0.209 0.531 0.628
Pm41 0.903 0.081 0.872
Pm42 0.678 0.209 0.581
Pm43 0.469 0.791 0.872
Pm44 0.031 0.403 0.822
Pm45 0.419 0.291 0.322
Pm46 0.031 0.628 0.709
Pm47 0.678 0.469 0.597
Pm48 0.291 0.872 0.969

Results
spin magnetization: 0.00 μB per cell
total energy: -6.781 eV per atom
space-group type: Ia-3d (230)
formation energy: 59.8 meV per atom

---

Tl2OsCl: relaxed, GGA-PBE.

Cell lengths 3.340, 3.390, 10.512 Å; angles 49.98, 90.00, 90.00 degrees
Element x y z (fractional)
Cl1 0.500 0.250 0.250
Os1 0.500 0.750 0.750
Tl1 0.000 0.847 0.952
Tl2 0.000 0.653 0.548

Results
spin magnetization: 0.00 μB per cell
polymorph energy (0 for the lowest one): 0.00 eV/f.u.
total energy: -3.976 eV per atom
formation energy from raw total energies: 0.48 eV/atom
space-group type: P2/m (10)

---

SrGa3PtRh: relaxed, GGA-PBE.

Cell lengths 6.075, 7.687, 6.920 Å; angles 123.74, 90.00, 90.00 degrees
Element x y z (fractional)
Sr1 0.750 0.273 0.547
Sr2 0.250 0.727 0.453
Ga1 0.250 0.224 0.448
Ga2 0.000 0.254 0.000
Ga3 0.500 0.746 0.000
Ga4 0.500 0.254 0.000
Ga5 0.000 0.746 0.000
Ga6 0.750 0.776 0.552
Pt1 0.250 0.430 0.860
Pt2 0.750 0.570 0.140
Rh1 0.250 0.025 0.050
Rh2 0.750 0.975 0.950

Results
spin magnetization: 0.00 μB per cell
total energy: -4.594 eV per atom
space-group type: Cmcm (63)
formation energy: -568.0 meV per atom

---

Na2CO2: relaxed, GGA-PBE.

Cell lengths 2.909, 2.909, 7.505 Å; angles 78.82, 78.82, 90.00 degrees
Each line ends with the local moment (μB).
Element x y z (fractional)
Na1 0.377 0.377 0.247  0.01
Na2 0.623 0.623 0.753  0.01
C1 0.000 0.000 0.000  0.41
O1 0.750 0.250 0.500  0.00
O2 0.250 0.750 0.500  0.00

Results
spin magnetization: 0.91 μB per cell
polymorph energy (0 for the lowest one): 0.72 eV/f.u.
total energy: -3.479 eV per atom
formation energy from raw total energies: 0.88 eV/atom
space-group type: I4/mmm (139)

---

Copy entry 1 word for word.
Pm12Os3C5: relaxed, GGA-PBE.

Cell lengths 13.687, 13.687, 13.687 Å; angles 109.47, 109.47, 109.47 degrees
Element x y z (fractional)
Os1 0.750 0.375 0.125
Os2 0.875 0.750 0.125
Os3 0.375 0.750 0.625
Os4 0.250 0.125 0.375
Os5 0.875 0.125 0.250
Os6 0.375 0.625 0.250
Os7 0.625 0.375 0.750
Os8 0.125 0.875 0.750
Os9 0.750 0.875 0.625
Os10 0.625 0.250 0.375
Os11 0.125 0.250 0.875
Os12 0.250 0.625 0.875
C1 0.125 0.375 0.250
C2 0.000 0.500 0.000
C3 0.000 0.000 0.000
C4 0.375 0.250 0.125
C5 0.500 0.000 0.500
C6 0.500 0.500 0.000
C7 0.125 0.750 0.375
C8 0.750 0.125 0.875
C9 0.750 0.625 0.375
C10 0.375 0.125 0.750
C11 0.625 0.875 0.250
C12 0.500 0.500 0.500
C13 0.500 0.000 0.000
C14 0.000 0.000 0.500
C15 0.250 0.375 0.625
C16 0.250 0.875 0.125
C17 0.000 0.500 0.500
C18 0.875 0.250 0.625
C19 0.625 0.750 0.875
C20 0.875 0.625 0.750
Pm1 0.709 0.128 0.031
Pm2 0.322 0.531 0.403
Pm3 0.969 0.372 0.291
Pm4 0.531 0.209 0.128
Pm5 0.581 0.709 0.678
Pm6 0.969 0.597 0.178
Pm7 0.322 0.791 0.419
Pm8 0.097 0.919 0.128
Pm9 0.597 0.969 0.678
Pm10 0.709 0.581 0.178
Pm11 0.791 0.469 0.372
Pm12 0.822 0.903 0.031
Pm13 0.128 0.709 0.531
Pm14 0.372 0.403 0.081
Pm15 0.081 0.903 0.372
Pm16 0.419 0.128 0.597
Pm17 0.081 0.178 0.209
Pm18 0.469 0.678 0.097
Pm19 0.822 0.919 0.291
Pm20 0.128 0.419 0.097
Pm21 0.372 0.969 0.791
Pm22 0.597 0.628 0.419
Pm23 0.903 0.822 0.531
Pm24 0.791 0.322 0.919
Pm25 0.403 0.372 0.581
Pm26 0.097 0.178 0.469
Pm27 0.209 0.678 0.081
Pm28 0.178 0.081 0.709
Pm29 0.628 0.031 0.209
Pm30 0.872 0.581 0.903
Pm31 0.531 0.322 0.903
Pm32 0.581 0.872 0.403
Pm33 0.919 0.822 0.791
Pm34 0.919 0.097 0.628
Pm35 0.872 0.291 0.469
Pm36 0.178 0.097 0.969
Pm37 0.628 0.597 0.919
Pm38 0.403 0.031 0.322
Pm39 0.291 0.419 0.822
Pm40 0.209 0.531 0.628
Pm41 0.903 0.081 0.872
Pm42 0.678 0.209 0.581
Pm43 0.469 0.791 0.872
Pm44 0.031 0.403 0.822
Pm45 0.419 0.291 0.322
Pm46 0.031 0.628 0.709
Pm47 0.678 0.469 0.597
Pm48 0.291 0.872 0.969

Results
spin magnetization: 0.00 μB per cell
total energy: -6.781 eV per atom
space-group type: Ia-3d (230)
formation energy: 59.8 meV per atom